CuSb2TeH, single point on PBEsol structure, DFT meta-GGA SCAN; size of the total moment = 0.00 μB per formula unit
1.0
4.2728 0.0000 0.0000
0.0000 4.2728 0.0000
0.0000 0.0000 5.4412
Cu Sb Te H
1 2 1 1
Direct
0.0000 0.0000 0.0000
0.0000 0.5000 0.5000
0.5000 0.0000 0.5000
0.5000 0.5000 0.0000
0.5000 0.5000 0.5000



ScCuH2, single point on PBEsol structure, DFT meta-GGA SCAN; size of the total moment = 0.00 μB per formula unit
1.0
-2.0054 2.0054 4.8954
2.0054 -2.0054 4.8954
2.0054 2.0054 -4.8954
Sc Cu H
2 2 4
Direct
0.0000 0.0000 0.0000
0.7500 0.2500 0.5000
0.2500 0.7500 0.5000
0.5000 0.5000 0.0000
0.1968 0.6250 0.0718
0.3750 0.4468 0.5718
0.5532 0.1250 0.9282
0.8750 0.8032 0.4282



CuH3Se, single point on PBEsol structure, DFT meta-GGA SCAN; size of the total moment = 0.00 μB per formula unit
1.0
3.6231 0.0000 0.0000
0.0000 3.6231 0.0000
0.0000 0.0000 3.6231
Cu H Se
1 3 1
Direct
0.0000 0.0000 0.0000
0.0000 0.5000 0.5000
0.5000 0.0000 0.5000
0.5000 0.5000 0.0000
0.5000 0.5000 0.5000



| no. | calculated density (kg/m3) | energy (eV/f.u.) |
| --- | --- | --- |
| 1 | 7283 | -127.02 |
| 2 | 4661 | -36.94 |
| 3 | 5081 | -40.77 |